DFT (PBE with a Hubbard U) results for an optimized crystal structure of K3Nb2VO8.

Results
As for the density of states at the Fermi level: 0.000 states/eV/atom. For the total energy, the calculation gives -0.269 hartree per atom.

abc: 5.935 5.935 7.616
angles: 90.00 90.00 120.00
Atoms (fractional coordinates):
K: 0.000 0.000 0.000
K: 0.333 0.667 0.675
K: 0.667 0.333 0.325
Nb: 0.333 0.667 0.247
Nb: 0.667 0.333 0.753
V: 0.000 0.000 0.500
O: 0.162 0.323 0.338
O: 0.162 0.838 0.338
O: 0.323 0.162 0.662
O: 0.333 0.667 0.008
O: 0.667 0.333 0.992
O: 0.677 0.838 0.338
O: 0.838 0.162 0.662
O: 0.838 0.677 0.662